Entry from Alexandria via LeMat-Bulk: crystalline KAlFeF6 at its relaxed geometry (GGA+U).

## Properties
Crystal system: trigonal
V, Å³ per cell: 278
N(E_F), states/eV per atom: 0.000
Calculated total energy, eV/atom: -5.4889

abc: 5.3400 5.3400 11.2398
angles: 90.00 90.00 120.00
With the nearest neighbours (Å) after each atom.
Fractional coordinates of all 18 atoms:
K 0.0000 0.0000 0.0000  6 F 2.69
K 0.0000 0.0000 0.5000  6 F 2.69
Al 0.3333 0.6667 0.2500  6 F 1.84
Al 0.6667 0.3333 0.7500  6 F 1.84
Fe 0.3333 0.6667 0.7500  6 F 2.11
Fe 0.6667 0.3333 0.2500  6 F 2.11
F 0.0373 0.3964 0.1577  1 Al 1.84
F 0.0373 0.6408 0.3423  1 Al 1.84
F 0.3592 0.3964 0.3423  1 Al 1.84
F 0.3592 0.9627 0.1577  1 Al 1.84
F 0.3964 0.0373 0.6577  1 Al 1.84
F 0.3964 0.3592 0.8423  1 Al 1.84
F 0.6036 0.6408 0.1577  1 Al 1.84
F 0.6036 0.9627 0.3423  1 Al 1.84
F 0.6408 0.0373 0.8423  1 Al 1.84
F 0.6408 0.6036 0.6577  1 Al 1.84
F 0.9627 0.3592 0.6577  1 Al 1.84
F 0.9627 0.6036 0.8423  1 Al 1.84